(1)
This record from Alexandria describes crystalline PrScSi at its relaxed geometry. The functional is PBE-GGA.

- magnetization (μB/f.u.) = 0.75
- SG = I4/mmm
- volume (Å³ per cell) = 148
- offset from the most stable computed form (meV per atom) = 0
- raw formation energy (eV/atom) = -0.61

a = 8.550 Å, b = 8.550 Å, c = 8.550 Å
α = 150.79°, β = 150.79°, γ = 41.78°
Atoms (fractional coordinates):
Pr: 0.176 0.176 0.000
Pr: 0.824 0.824 0.000
Sc: 0.000 0.500 0.500
Sc: 0.500 0.000 0.500
Si: 0.379 0.379 0.000
Si: 0.621 0.621 0.000


(2)
This record from Alexandria describes crystalline CePaOs2 at its relaxed geometry. The functional is PBE-GGA.

- magnetization (μB/f.u.) = 0.00
- SG = R-3m
- volume (Å³ per cell) = 89
- offset from the most stable computed form (meV per atom) = 201
- E_form (eV/atom) = -0.090

a = 6.957 Å, b = 6.957 Å, c = 6.957 Å
α = 33.11°, β = 33.11°, γ = 33.11°
Atoms (fractional coordinates):
Ce: 0.000 0.000 0.000
Pa: 0.500 0.500 0.500
Os: 0.248 0.248 0.248
Os: 0.752 0.752 0.752


(3)
This record from Alexandria describes crystalline Cs7Rb12I at its relaxed geometry. The functional is PBE-GGA.

- magnetization (μB/f.u.) = 0.00
- SG = R-3m
- volume (Å³ per cell) = 1927
- raw formation energy (eV/atom) = -0.09

a = 16.095 Å, b = 16.095 Å, c = 16.095 Å
α = 116.69°, β = 116.69°, γ = 116.69°
Atoms (fractional coordinates):
Cs: 0.000 0.000 0.000
Cs: 0.169 0.402 0.402
Cs: 0.402 0.169 0.402
Cs: 0.402 0.402 0.169
Cs: 0.598 0.598 0.831
Cs: 0.598 0.831 0.598
Cs: 0.831 0.598 0.598
Rb: 0.000 0.408 0.592
Rb: 0.000 0.592 0.408
Rb: 0.043 0.043 0.403
Rb: 0.043 0.403 0.043
Rb: 0.403 0.043 0.043
Rb: 0.408 0.000 0.592
Rb: 0.408 0.592 0.000
Rb: 0.592 0.000 0.408
Rb: 0.592 0.408 0.000
Rb: 0.597 0.957 0.957
Rb: 0.957 0.597 0.957
Rb: 0.957 0.957 0.597
I: 0.500 0.500 0.500


(4)
This record from Alexandria describes crystalline CrAs2Rh at its relaxed geometry. The functional is PBE-GGA.

- magnetization (μB/f.u.) = 3.06
- SG = P4mm
- volume (Å³ per cell) = 70
- E_form (eV/atom) = -0.052

a = 3.066 Å, b = 3.066 Å, c = 7.428 Å
α = 90.00°, β = 90.00°, γ = 90.00°
Atoms (fractional coordinates):
Cr: 0.000 0.000 0.000
As: 0.000 0.000 0.419
As: 0.500 0.500 0.819
Rh: 0.500 0.500 0.238


(5)
This record from Alexandria describes crystalline CdAg8Pd6 at its relaxed geometry. The functional is PBE-GGA.

- magnetization (μB/f.u.) = 0.00
- SG = R-3
- volume (Å³ per cell) = 278
- E_form (eV/atom) = 0.059

a = 7.065 Å, b = 7.065 Å, c = 7.065 Å
α = 65.33°, β = 65.33°, γ = 65.33°
Atoms (fractional coordinates):
Cd: 0.000 0.000 0.000
Ag: 0.136 0.815 0.435
Ag: 0.185 0.565 0.864
Ag: 0.260 0.260 0.260
Ag: 0.435 0.136 0.815
Ag: 0.565 0.864 0.185
Ag: 0.740 0.740 0.740
Ag: 0.815 0.435 0.136
Ag: 0.864 0.185 0.565
Pd: 0.076 0.367 0.671
Pd: 0.329 0.924 0.633
Pd: 0.367 0.671 0.076
Pd: 0.633 0.329 0.924
Pd: 0.671 0.076 0.367
Pd: 0.924 0.633 0.329


(6)
This record from Alexandria describes crystalline NaPb2Au2 at its relaxed geometry. The functional is PBE-GGA.

- magnetization (μB/f.u.) = 0.00
- SG = P-1
- volume (Å³ per cell) = 274
- offset from the most stable computed form (meV per atom) = 0
- E_form (eV/atom) = -0.174

a = 5.565 Å, b = 7.220 Å, c = 7.435 Å
α = 93.07°, β = 97.38°, γ = 111.48°
Atoms (fractional coordinates):
Na: 0.248 0.242 0.246
Na: 0.752 0.758 0.754
Pb: 0.087 0.377 0.818
Pb: 0.416 0.126 0.681
Pb: 0.584 0.874 0.319
Pb: 0.913 0.623 0.182
Au: 0.189 0.696 0.557
Au: 0.305 0.807 0.945
Au: 0.695 0.193 0.055
Au: 0.811 0.304 0.443


(7)
This record from Alexandria describes crystalline KLi2SbP at its relaxed geometry. The functional is PBE-GGA.

- magnetization (μB/f.u.) = 0.00
- SG = P4/mmm
- volume (Å³ per cell) = 135
- raw formation energy (eV/atom) = 0.72

a = 4.994 Å, b = 4.994 Å, c = 5.414 Å
α = 90.00°, β = 90.00°, γ = 90.00°
Atoms (fractional coordinates):
K: 0.000 0.000 0.000
Li: 0.000 0.500 0.000
Li: 0.500 0.000 0.000
Sb: 0.500 0.500 0.500
P: 0.000 0.000 0.500


(8)
This record from Alexandria describes crystalline CaDy2Ga at its relaxed geometry. The functional is PBE-GGA.

- magnetization (μB/f.u.) = 0.00
- SG = P4/mmm
- volume (Å³ per cell) = 119
- offset from the most stable computed form (meV per atom) = 0
- E_form (eV/atom) = -0.236

a = 3.592 Å, b = 3.592 Å, c = 9.213 Å
α = 90.00°, β = 90.00°, γ = 90.00°
Atoms (fractional coordinates):
Ca: 0.000 0.000 0.000
Dy: 0.500 0.500 0.311
Dy: 0.500 0.500 0.689
Ga: 0.000 0.000 0.500


(9)
This record from Alexandria describes crystalline BaInNi at its relaxed geometry. The functional is PBE-GGA.

- magnetization (μB/f.u.) = 0.00
- SG = Imma
- volume (Å³ per cell) = 167
- E_form (eV/atom) = -0.181

a = 7.415 Å, b = 7.415 Å, c = 7.415 Å
α = 140.69°, β = 139.43°, γ = 57.77°
Atoms (fractional coordinates):
Ba: 0.366 0.116 0.250
Ba: 0.634 0.884 0.750
In: 0.072 0.322 0.750
In: 0.928 0.678 0.250
Ni: 0.000 0.500 0.500
Ni: 0.500 0.500 0.000


(10)
This record from Alexandria describes crystalline Y2TlOs at its relaxed geometry. The functional is PBE-GGA.

- magnetization (μB/f.u.) = 0.00
- SG = Cmmm
- volume (Å³ per cell) = 92
- offset from the most stable computed form (meV per atom) = 174
- E_form (eV/atom) = -0.132

a = 5.029 Å, b = 5.029 Å, c = 3.657 Å
α = 90.00°, β = 90.00°, γ = 90.13°
Atoms (fractional coordinates):
Y: 0.000 0.500 0.000
Y: 0.500 0.000 0.000
Tl: 0.000 0.000 0.500
Os: 0.500 0.500 0.500


(11)
This record from Alexandria describes crystalline ScSb3Pd at its relaxed geometry. The functional is PBE-GGA.

- magnetization (μB/f.u.) = 0.00
- SG = Pm-3m
- volume (Å³ per cell) = 156
- offset from the most stable computed form (meV per atom) = 289
- raw formation energy (eV/atom) = 0.45

a = 5.379 Å, b = 5.379 Å, c = 5.379 Å
α = 90.00°, β = 90.00°, γ = 90.00°
Atoms (fractional coordinates):
Sc: 0.000 0.000 0.000
Sb: 0.000 0.000 0.500
Sb: 0.000 0.500 0.000
Sb: 0.500 0.000 0.000
Pd: 0.500 0.500 0.500


(12)
This record from Alexandria describes crystalline Pm3Al3Pd8 at its relaxed geometry. The functional is PBE-GGA.

- magnetization (μB/f.u.) = 0.00
- SG = Immm
- volume (Å³ per cell) = 269
- E_form (eV/atom) = -0.779

a = 8.326 Å, b = 8.326 Å, c = 8.326 Å
α = 149.57°, β = 110.48°, γ = 77.75°
Atoms (fractional coordinates):
Pm: 0.000 0.000 0.000
Pm: 0.293 0.293 0.000
Pm: 0.707 0.707 0.000
Al: 0.276 0.500 0.776
Al: 0.500 0.000 0.500
Al: 0.724 0.500 0.224
Pd: 0.027 0.673 0.354
Pd: 0.184 0.887 0.297
Pd: 0.319 0.673 0.646
Pd: 0.409 0.113 0.297
Pd: 0.591 0.887 0.703
Pd: 0.681 0.327 0.354
Pd: 0.816 0.113 0.703
Pd: 0.973 0.327 0.646